# 1
A plane-wave DFT calculation with GGA-PBE was carried out for a geometry-optimized Sc5Co4Au structure.

a b c (Å): 3.131 3.131 16.438
angles (deg): 90.00 90.00 90.00
Element x y z (fractional)
Sc: 0.500 0.500 0.121
Sc: 0.500 0.500 0.500
Sc: 0.500 0.500 0.311
Sc: 0.500 0.500 0.879
Sc: 0.500 0.500 0.689
Co: 0.000 0.000 0.405
Co: 0.000 0.000 0.595
Co: 0.000 0.000 0.787
Co: 0.000 0.000 0.213
Au: 0.000 0.000 0.000

Summary:
Raw total energy ... -6.78 eV/atom
Symmetry ... P4/mmm
DFT formation energy ... -447 meV/atom

# 2
A plane-wave DFT calculation with GGA-PBE was carried out for a geometry-optimized Zn12Ir2Au5 structure.

a b c (Å): 6.127 7.583 8.297
angles (deg): 101.20 90.00 113.83
Element x y z (fractional)
Zn: 0.048 0.095 0.817
Zn: 0.396 0.360 0.138
Zn: 0.952 0.905 0.183
Zn: 0.470 0.941 0.711
Zn: 0.417 0.276 0.603
Zn: 0.583 0.724 0.397
Zn: 0.530 0.059 0.289
Zn: 0.963 0.360 0.138
Zn: 0.604 0.640 0.862
Zn: 0.037 0.640 0.862
Zn: 0.860 0.276 0.603
Zn: 0.140 0.724 0.397
Au: 0.340 0.680 0.116
Au: 0.719 0.438 0.392
Au: 0.281 0.562 0.608
Au: 0.000 0.000 0.500
Au: 0.660 0.320 0.884
Ir: 0.710 0.000 0.000
Ir: 0.290 0.000 0.000

Summary:
Raw total energy ... -2.65 eV/atom
Symmetry ... C2/m
DFT formation energy ... -49 meV/atom

# 3
A plane-wave DFT calculation with GGA-PBE was carried out for a geometry-optimized CuBrO2 structure.

a b c (Å): 6.662 6.662 3.825
angles (deg): 90.00 90.00 115.39
Element x y z (fractional)
Br: 0.631 0.369 0.250
Br: 0.369 0.631 0.750
Cu: 0.735 0.735 0.500
Cu: 0.265 0.265 0.000
O: 0.824 0.996 0.784
O: 0.004 0.176 0.716
O: 0.176 0.004 0.284
O: 0.996 0.824 0.216

Summary:
Raw total energy ... -4.09 eV/atom
Symmetry ... C222_1

Calculated magnetization (μB/f.u.), listed in the same order as above: 0.9; 0.0; 0.0